# 1
# La2InMoC

A relaxed structure of La2InMoC (PBE, Alexandria via LeMat-Bulk).

Lattice parameters (Å, degrees): 5.366 5.366 4.149 90.00 90.00 90.00
Fractional positions:
1 C 0.000 0.000 0.000
2 In 0.500 0.500 0.500
3 La 0.500 0.000 0.000
4 Mo 0.000 0.000 0.500
5 La 0.000 0.500 0.000

Properties
symmetry: P4/mmm
ΔE_f: -0.1153 eV per atom



# 2
# YTiNF2

A relaxed structure of YTiNF2 (PBE, Alexandria via LeMat-Bulk).

Lattice parameters (Å, degrees): 4.238 4.238 4.728 90.00 90.00 90.00
Fractional positions:
1 N 0.000 0.000 0.500
2 Ti 0.500 0.500 0.500
3 F 0.000 0.500 0.000
4 Y 0.000 0.000 0.000
5 F 0.500 0.000 0.000

Properties
symmetry: P4/mmm
raw total energy: -34.03 eV/cell



# 3
# CsPuO4

A relaxed structure of CsPuO4 (PBE, Alexandria via LeMat-Bulk).

Lattice parameters (Å, degrees): 6.418 6.418 8.303 90.00 90.00 90.00
Fractional positions:
1 O 0.202 0.000 0.168
2 O 0.702 0.500 0.332
3 Cs 0.000 0.000 0.500
4 Pu 0.500 0.500 0.500
5 Pu 0.000 0.000 0.000
6 O 0.000 0.798 0.832
7 O 0.000 0.202 0.832
8 O 0.500 0.298 0.668
9 O 0.500 0.702 0.668
10 O 0.298 0.500 0.332
11 Cs 0.500 0.500 0.000
12 O 0.798 0.000 0.168

Properties
symmetry: P4_2/nmc
raw total energy: -89.53 eV/cell



# 4
# BeFeTcW

A relaxed structure of BeFeTcW (PBE, Alexandria via LeMat-Bulk).

Lattice parameters (Å, degrees): 4.158 4.158 4.158 60.00 60.00 60.00
Fractional positions:
1 Tc 0.750 0.750 0.750
2 Be 0.500 0.500 0.500
3 Fe 0.250 0.250 0.250
4 W 0.000 0.000 0.000

Properties
symmetry: F-43m
ΔE_f: -0.0016 eV per atom



# 5
# TmTiMnGe2

A relaxed structure of TmTiMnGe2 (PBE, Alexandria via LeMat-Bulk).

Lattice parameters (Å, degrees): 3.941 3.941 6.316 108.18 108.18 90.00
Fractional positions:
1 Ti 0.250 0.750 0.500
2 Ge 0.610 0.610 0.220
3 Mn 0.750 0.250 0.500
4 Ge 0.390 0.390 0.780
5 Tm 0.000 0.000 0.000

Properties
symmetry: I-4m2
ΔE_f: -0.5736 eV per atom



# 6
# NaLaMg2Hg4

A relaxed structure of NaLaMg2Hg4 (PBE, Alexandria via LeMat-Bulk).

Lattice parameters (Å, degrees): 5.036 5.036 9.343 74.36 74.36 60.00
Fractional positions:
1 Na 0.500 0.500 0.500
2 Mg 0.755 0.755 0.734
3 Hg 0.873 0.873 0.380
4 Hg 0.385 0.385 0.846
5 La 0.000 0.000 0.000
6 Hg 0.615 0.615 0.154
7 Hg 0.127 0.127 0.620
8 Mg 0.245 0.245 0.266

Properties
symmetry: R-3m
ΔE_f: -0.3403 eV per atom



# 7
# PmH2Pt

A relaxed structure of PmH2Pt (PBE, Alexandria via LeMat-Bulk).

Lattice parameters (Å, degrees): 4.234 4.234 4.463 61.68 61.68 60.00
Fractional positions:
1 Pt 0.000 0.000 0.000
2 H 0.850 0.850 0.449
3 H 0.150 0.150 0.551
4 Pm 0.500 0.500 0.500

Properties
symmetry: R-3m
raw total energy: -20.20 eV/cell



# 8
# Ho2MgOsC

A relaxed structure of Ho2MgOsC (PBE, Alexandria via LeMat-Bulk).

Lattice parameters (Å, degrees): 3.944 4.982 4.982 90.00 90.00 90.00
Fractional positions:
1 Ho 0.000 0.000 0.500
2 Os 0.500 0.000 0.000
3 C 0.000 0.000 0.000
4 Ho 0.000 0.500 0.000
5 Mg 0.500 0.500 0.500

Properties
symmetry: P4/mmm
ΔE_f: -0.3276 eV per atom



# 9
# KCd3Pt

A relaxed structure of KCd3Pt (PBE, Alexandria via LeMat-Bulk).

Lattice parameters (Å, degrees): 23.529 5.706 8.840 90.00 155.08 90.00
Fractional positions:
1 Pt 0.927 0.788 0.502
2 K 0.441 0.772 0.479
3 Cd 0.906 0.274 0.333
4 Cd 0.094 0.726 0.667
5 Cd 0.406 0.226 0.833
6 Cd 0.753 0.023 0.275
7 Cd 0.707 0.732 0.771
8 Cd 0.253 0.477 0.775
9 Pt 0.073 0.212 0.498
10 Cd 0.747 0.523 0.225
11 Cd 0.793 0.232 0.729
12 K 0.941 0.728 0.979
13 Cd 0.247 0.977 0.725
14 K 0.559 0.228 0.521
15 Cd 0.207 0.768 0.271
16 Pt 0.573 0.288 0.998
17 Cd 0.594 0.774 0.167
18 Cd 0.293 0.268 0.229
19 K 0.059 0.272 0.021
20 Pt 0.427 0.712 0.002

Properties
symmetry: P2_1/c
ΔE_f: -0.1213 eV per atom



# 10
# K3TaCr2Se6

A relaxed structure of K3TaCr2Se6 (PBE, Alexandria via LeMat-Bulk).

Lattice parameters (Å, degrees): 6.808 6.808 7.774 98.40 98.40 119.99
Fractional positions:
1 K 0.166 0.834 0.500
2 Cr 0.333 0.667 0.000
3 Se 0.061 0.395 0.183
4 Se 0.727 0.727 0.183
5 Se 0.273 0.273 0.817
6 Se 0.939 0.605 0.817
7 Cr 0.667 0.333 0.000
8 K 0.834 0.166 0.500
9 K 0.500 0.500 0.500
10 Se 0.605 0.939 0.817
11 Se 0.395 0.061 0.183
12 Ta 0.000 0.000 0.000

Properties
symmetry: C2/m
raw total energy: -64.83 eV/cell



# 11
# NiAg2Ir

A relaxed structure of NiAg2Ir (PBE, Alexandria via LeMat-Bulk).

Lattice parameters (Å, degrees): 4.204 3.816 3.816 90.00 90.00 90.00
Fractional positions:
1 Ni 0.500 0.000 0.500
2 Ag 0.000 0.500 0.500
3 Ag 0.000 0.000 0.000
4 Ir 0.500 0.500 0.000

Properties
symmetry: P4/mmm
ΔE_f: 0.4724 eV per atom



# 12
# CdAgOs2

A relaxed structure of CdAgOs2 (PBE, Alexandria via LeMat-Bulk).

Lattice parameters (Å, degrees): 5.137 5.137 4.779 80.11 80.11 31.63
Fractional positions:
1 Ag 0.250 0.250 0.250
2 Cd 0.750 0.750 0.750
3 Os 0.500 0.500 0.506
4 Os 0.000 0.000 0.994

Properties
symmetry: C2/m
ΔE_f: 0.6843 eV per atom



# 13
# YAlPtF2

A relaxed structure of YAlPtF2 (PBE, Alexandria via LeMat-Bulk).

Lattice parameters (Å, degrees): 4.477 4.841 4.477 90.00 90.00 90.00
Fractional positions:
1 Al 0.000 0.500 0.000
2 Pt 0.000 0.000 0.000
3 F 0.000 0.000 0.500
4 F 0.500 0.000 0.000
5 Y 0.500 0.500 0.500

Properties
symmetry: P4/mmm
raw total energy: -23.63 eV/cell



# 14
# DyAgGeAu

A relaxed structure of DyAgGeAu (PBE, Alexandria via LeMat-Bulk).

Lattice parameters (Å, degrees): 4.854 4.854 4.854 60.00 60.00 60.00
Fractional positions:
1 Ag 0.000 0.000 0.000
2 Dy 0.500 0.500 0.500
3 Au 0.750 0.750 0.750
4 Ge 0.250 0.250 0.250

Properties
symmetry: F-43m
ΔE_f: -0.4628 eV per atom



# 15
# SrCo9Ge4

A relaxed structure of SrCo9Ge4 (PBE, Alexandria via LeMat-Bulk).

Lattice parameters (Å, degrees): 7.921 7.921 8.169 119.00 119.00 90.00
Fractional positions:
1 Ge 0.047 0.547 0.748
2 Co 0.800 0.066 0.000
3 Ge 0.953 0.453 0.252
4 Ge 0.799 0.953 0.252
5 Co 0.000 0.500 0.000
6 Ge 0.701 0.201 0.748
7 Co 0.500 0.000 0.000
8 Ge 0.201 0.047 0.748
9 Co 0.066 0.200 0.000
10 Sr 0.250 0.250 0.500
11 Co 0.934 0.800 0.000
12 Co 0.434 0.700 0.000
13 Ge 0.547 0.701 0.748
14 Co 0.700 0.566 0.000
15 Co 0.055 0.797 0.353
16 Ge 0.299 0.799 0.252
17 Co 0.300 0.434 0.000
18 Co 0.566 0.300 0.000
19 Ge 0.453 0.299 0.252
20 Co 0.703 0.445 0.647
21 Co 0.445 0.945 0.647
22 Co 0.945 0.203 0.647
23 Co 0.555 0.055 0.353
24 Co 0.797 0.297 0.353
25 Co 0.200 0.934 0.000
26 Co 0.203 0.703 0.647
27 Co 0.297 0.555 0.353
28 Sr 0.750 0.750 0.500

Properties
symmetry: I4/mcm
ΔE_f: -0.1957 eV per atom



# 16
# Pb2WSe

A relaxed structure of Pb2WSe (PBE, Alexandria via LeMat-Bulk).

Lattice parameters (Å, degrees): 5.291 5.291 3.313 90.00 90.00 102.04
Fractional positions:
1 Pb 0.000 0.000 0.000
2 W 0.000 0.500 0.500
3 Se 0.500 0.000 0.500
4 Pb 0.500 0.500 0.000

Properties
symmetry: Cmmm
raw total energy: -20.58 eV/cell



# 17
# Ca2YTcBr

A relaxed structure of Ca2YTcBr (PBE, Alexandria via LeMat-Bulk).

Lattice parameters (Å, degrees): 6.444 4.666 6.444 90.00 90.00 90.00
Fractional positions:
1 Br 0.500 0.500 0.500
2 Tc 0.000 0.500 0.000
3 Ca 0.500 0.000 0.000
4 Ca 0.000 0.000 0.500
5 Y 0.000 0.000 0.000

Properties
symmetry: P4/mmm
raw total energy: -18.78 eV/cell



# 18
# Na3B6BrO10

A relaxed structure of Na3B6BrO10 (PBE, Alexandria via LeMat-Bulk).

Lattice parameters (Å, degrees): 7.661 9.993 12.919 90.00 90.00 90.00
Fractional positions:
1 O 0.372 0.989 0.312
2 Na 0.855 0.750 0.202
3 Na 0.500 0.000 0.000
4 B 0.489 0.518 0.231
5 B 0.251 0.881 0.835
6 B 0.740 0.250 0.997
7 O 0.078 0.597 0.290
8 Na 0.500 0.500 0.000
9 Na 0.500 0.500 0.500
10 B 0.511 0.482 0.769
11 O 0.007 0.370 0.329
12 B 0.251 0.619 0.835
13 O 0.422 0.597 0.790
14 O 0.320 0.750 0.292
15 O 0.746 0.250 0.892
16 B 0.751 0.381 0.665
17 O 0.754 0.250 0.392
18 B 0.760 0.250 0.497
19 B 0.011 0.518 0.731
20 O 0.578 0.403 0.210
21 O 0.260 0.870 0.949
22 O 0.493 0.370 0.829
23 B 0.749 0.381 0.165
24 Na 0.000 0.500 0.500
25 O 0.128 0.511 0.812
26 B 0.011 0.982 0.731
27 B 0.249 0.881 0.335
28 B 0.396 0.750 0.183
29 O 0.993 0.630 0.671
30 Br 0.289 0.250 0.539
31 O 0.493 0.130 0.829
32 O 0.922 0.403 0.710
33 O 0.254 0.750 0.108
34 O 0.820 0.250 0.208
35 O 0.922 0.097 0.710
36 O 0.078 0.903 0.290
37 O 0.372 0.511 0.312
38 O 0.680 0.250 0.708
39 B 0.989 0.482 0.269
40 Na 0.000 0.000 0.500
41 Na 0.145 0.250 0.798
42 O 0.422 0.903 0.790
43 O 0.872 0.011 0.188
44 O 0.240 0.870 0.449
45 O 0.740 0.370 0.051
46 O 0.007 0.130 0.329
47 Br 0.211 0.250 0.039
48 O 0.993 0.870 0.671
49 B 0.604 0.250 0.817
50 B 0.249 0.619 0.335
51 Br 0.789 0.750 0.961
52 O 0.740 0.130 0.051
53 O 0.760 0.370 0.551
54 O 0.628 0.011 0.688
55 B 0.511 0.018 0.769
56 Na 0.500 0.000 0.500
57 O 0.872 0.489 0.188
58 Na 0.000 0.500 0.000
59 Na 0.645 0.750 0.702
60 B 0.989 0.018 0.269
61 Na 0.000 0.000 0.000
62 O 0.260 0.630 0.949
63 O 0.507 0.870 0.171
64 B 0.489 0.982 0.231
65 B 0.896 0.250 0.317
66 O 0.240 0.630 0.449
67 B 0.240 0.750 0.503
68 O 0.246 0.750 0.608
69 Br 0.711 0.750 0.461
70 Na 0.355 0.250 0.298
71 B 0.260 0.750 0.003
72 O 0.628 0.489 0.688
73 O 0.180 0.750 0.792
74 O 0.128 0.989 0.812
75 O 0.507 0.630 0.171
76 B 0.104 0.750 0.683
77 O 0.760 0.130 0.551
78 O 0.578 0.097 0.210
79 B 0.749 0.119 0.165
80 B 0.751 0.119 0.665

Properties
symmetry: Pnma
raw total energy: -566.27 eV/cell



# 19
# Sr2MgSe

A relaxed structure of Sr2MgSe (PBE, Alexandria via LeMat-Bulk).

Lattice parameters (Å, degrees): 5.730 5.730 5.730 60.00 60.00 60.00
Fractional positions:
1 Sr 0.750 0.750 0.750
2 Mg 0.000 0.000 0.000
3 Se 0.500 0.500 0.500
4 Sr 0.250 0.250 0.250

Properties
symmetry: Fm-3m
raw total energy: -10.64 eV/cell



# 20
# NaCa2Co

A relaxed structure of NaCa2Co (PBE, Alexandria via LeMat-Bulk).

Lattice parameters (Å, degrees): 5.243 5.243 5.243 60.00 60.00 60.00
Fractional positions:
1 Co 0.500 0.500 0.500
2 Na 0.000 0.000 0.000
3 Ca 0.250 0.250 0.250
4 Ca 0.750 0.750 0.750

Properties
symmetry: Fm-3m
ΔE_f: 0.3645 eV per atom



# 21
# TbHoI3

A relaxed structure of TbHoI3 (PBE, Alexandria via LeMat-Bulk).

Lattice parameters (Å, degrees): 4.080 10.297 11.412 110.54 90.00 101.43
Fractional positions:
1 Tb 0.927 0.854 0.760
2 I 0.191 0.383 0.132
3 I 0.809 0.617 0.868
4 Tb 0.073 0.146 0.240
5 I 0.921 0.842 0.238
6 Ho 0.426 0.852 0.029
7 I 0.079 0.158 0.762
8 I 0.636 0.272 0.451
9 Ho 0.574 0.148 0.971
10 I 0.364 0.728 0.549

Properties
symmetry: C2/m
raw total energy: -38.69 eV/cell



# 22
# YHgOs

A relaxed structure of YHgOs (PBE, Alexandria via LeMat-Bulk).

Lattice parameters (Å, degrees): 4.683 4.683 4.683 60.00 60.00 60.00
Fractional positions:
1 Hg 0.500 0.500 0.500
2 Os 0.750 0.750 0.750
3 Y 0.000 0.000 0.000

Properties
symmetry: F-43m
ΔE_f: 0.3958 eV per atom



| no. | total moment (μB/cell) |
| --- | --- |
| 1 | 0.0 |
| 2 | 2.0 |
| 3 | 1.9 |
| 4 | 0.2 |
| 5 | 1.4 |
| 6 | 0.0 |
| 7 | 0.0 |
| 8 | 0.0 |
| 9 | 0.0 |
| 10 | 8.0 |
| 11 | 1.2 |
| 12 | 0.0 |
| 13 | 0.0 |
| 14 | 0.0 |
| 15 | 14.8 |
| 16 | 0.6 |
| 17 | 0.0 |
| 18 | 0.3 |
| 19 | 0.0 |
| 20 | 0.0 |
| 21 | 0.0 |
| 22 | 0.3 |